Entry 1:
! PrPb6 (PBE, optimized geometry); values from VASP
! uncorrected energy = -3.2978 eV/atom
! DFT formation energy = 3.94 eV/f.u.
&SYSTEM
  ibrav = 0, nat = 7, ntyp = 2
/
ATOMIC_SPECIES
Pb 207.20 Pb.upf
Pr 140.91 Pr.upf
ATOMIC_POSITIONS crystal
Pb 0.5000 0.2500 0.7500
Pb 0.7500 0.5000 0.2500
Pr 0.0000 0.0000 0.0000
Pb 0.5000 0.7500 0.2500
Pb 0.2500 0.5000 0.7500
Pb 0.7500 0.2500 0.5000
Pb 0.2500 0.7500 0.5000
CELL_PARAMETERS angstrom
7.3688 0.0000 0.0000
-2.4563 6.9474 0.0000
-2.4563 -3.4737 6.0166

Entry 2:
! PrPt8Pb3 (PBE, optimized geometry); values from VASP
! uncorrected energy = -5.7253 eV/atom
! DFT formation energy = -4.47 eV/f.u.
&SYSTEM
  ibrav = 0, nat = 12, ntyp = 3
/
ATOMIC_SPECIES
Pt 195.08 Pt.upf
Pb 207.20 Pb.upf
Pr 140.91 Pr.upf
ATOMIC_POSITIONS crystal
Pt 0.3333 0.6667 0.5005
Pt 0.9970 0.4985 0.7465
Pt 0.5015 0.4985 0.7465
Pt 0.1658 0.3317 0.2538
Pt 0.6683 0.8342 0.2538
Pb 0.0000 0.0000 0.9576
Pr 0.0000 0.0000 0.5734
Pb 0.6667 0.3333 0.4214
Pb 0.6667 0.3333 0.0490
Pt 0.1658 0.8342 0.2538
Pt 0.3333 0.6667 0.9973
Pt 0.5015 0.0030 0.7465
CELL_PARAMETERS angstrom
5.5266 0.0000 0.0000
-2.7633 4.7862 0.0000
0.0000 0.0000 8.9812

Entry 3:
! PrPt10Pb (PBE, optimized geometry); values from VASP
! uncorrected energy = -6.1422 eV/atom
! DFT formation energy = -4.81 eV/f.u.
&SYSTEM
  ibrav = 0, nat = 12, ntyp = 3
/
ATOMIC_SPECIES
Pr 140.91 Pr.upf
Pt 195.08 Pt.upf
Pb 207.20 Pb.upf
ATOMIC_POSITIONS crystal
Pr 0.0000 0.5000 0.5000
Pt 0.0000 0.5000 0.8360
Pt 0.5000 0.7469 0.2541
Pt 0.5000 0.2531 0.7459
Pt 0.0000 0.0000 0.6699
Pt 0.5000 0.2531 0.2541
Pb 0.0000 0.0000 0.0000
Pt 0.0000 0.5000 0.1640
Pt 0.5000 0.0000 0.5000
Pt 0.5000 0.5000 0.0000
Pt 0.5000 0.7469 0.7459
Pt 0.0000 0.0000 0.3301
CELL_PARAMETERS angstrom
4.4368 0.0000 0.0000
0.0000 5.4543 0.0000
0.0000 0.0000 9.3662

Entry 4:
! PrPt2Pb (PBE, optimized geometry); values from VASP
! uncorrected energy = -5.7517 eV/atom
! DFT formation energy = -2.44 eV/f.u.
&SYSTEM
  ibrav = 0, nat = 4, ntyp = 3
/
ATOMIC_SPECIES
Pt 195.08 Pt.upf
Pb 207.20 Pb.upf
Pr 140.91 Pr.upf
ATOMIC_POSITIONS crystal
Pt 0.0000 0.0000 0.5000
Pb 0.5000 0.0000 0.0000
Pt 0.0000 0.5000 0.0000
Pr 0.5000 0.5000 0.5000
CELL_PARAMETERS angstrom
-2.5785 -0.9273 -2.5108
-0.8776 -4.1773 2.4441
-3.4319 2.2885 2.6792

Entry 5:
! PrPt9Pb2 (PBE, optimized geometry); values from VASP
! uncorrected energy = -5.9837 eV/atom
! DFT formation energy = -5.24 eV/f.u.
&SYSTEM
  ibrav = 0, nat = 12, ntyp = 3
/
ATOMIC_SPECIES
Pt 195.08 Pt.upf
Pr 140.91 Pr.upf
Pb 207.20 Pb.upf
ATOMIC_POSITIONS crystal
Pt 0.4149 0.9192 0.2509
Pt 0.3329 0.3329 0.0013
Pr 0.0000 0.0000 0.0000
Pt 0.5851 0.0808 0.7491
Pt 0.0808 0.5851 0.7491
Pt 0.5851 0.5851 0.7491
Pt 0.4149 0.4149 0.2509
Pt 0.6671 0.6671 0.9987
Pb 0.1385 0.1385 0.5844
Pb 0.8615 0.8615 0.4156
Pt 0.5000 0.5000 0.5000
Pt 0.9192 0.4149 0.2509
CELL_PARAMETERS angstrom
-5.1864 -1.4522 0.9658
-2.7715 -2.8905 -3.7289
0.1589 -8.9900 2.8359

Entry 6:
! PrPt4Pb (PBE, optimized geometry); values from VASP
! uncorrected energy = -6.1383 eV/atom
! DFT formation energy = -4.18 eV/f.u.
&SYSTEM
  ibrav = 0, nat = 6, ntyp = 3
/
ATOMIC_SPECIES
Pb 207.20 Pb.upf
Pt 195.08 Pt.upf
Pr 140.91 Pr.upf
ATOMIC_POSITIONS crystal
Pb 0.2500 0.2500 0.2500
Pt 0.6249 0.6249 0.6249
Pt 0.6249 0.1252 0.6249
Pt 0.6249 0.6249 0.1252
Pr 0.0000 0.0000 0.0000
Pt 0.1252 0.6249 0.6249
CELL_PARAMETERS angstrom
-0.6744 -0.3775 -5.4524
1.7959 -4.4541 -2.6948
-3.6098 -3.5981 -2.0854

Entry 7:
! PrPt2Pb (PBE, optimized geometry); values from VASP
! uncorrected energy = -5.7454 eV/atom
! DFT formation energy = -2.41 eV/f.u.
&SYSTEM
  ibrav = 0, nat = 4, ntyp = 3
/
ATOMIC_SPECIES
Pb 207.20 Pb.upf
Pr 140.91 Pr.upf
Pt 195.08 Pt.upf
ATOMIC_POSITIONS crystal
Pb 0.5000 0.5000 0.5000
Pr 0.5000 0.5000 0.0000
Pt 0.0000 0.0000 0.7500
Pt 0.0000 0.0000 0.2500
CELL_PARAMETERS angstrom
3.6311 0.0000 0.0000
0.0000 3.6311 0.0000
0.0000 0.0000 6.9098

Entry 8:
! Pr3Pt8Pb (PBE, optimized geometry); values from VASP
! uncorrected energy = -6.4175 eV/atom
! DFT formation energy = -10.64 eV/f.u.
&SYSTEM
  ibrav = 0, nat = 12, ntyp = 3
/
ATOMIC_SPECIES
Pt 195.08 Pt.upf
Pr 140.91 Pr.upf
Pb 207.20 Pb.upf
ATOMIC_POSITIONS crystal
Pt 0.9426 0.4385 0.1804
Pr 0.9932 0.9932 0.0204
Pr 0.3772 0.3772 0.8685
Pt 0.9384 0.4329 0.6902
Pb 0.8670 0.8670 0.3989
Pt 0.1888 0.1888 0.4336
Pt 0.6886 0.6886 0.9342
Pt 0.4329 0.9384 0.6902
Pr 0.5058 0.5058 0.4827
Pt 0.4385 0.9426 0.1804
Pt 0.4385 0.4385 0.1804
Pt 0.9384 0.9384 0.6902
CELL_PARAMETERS angstrom
5.3021 0.0000 1.6006
2.4095 4.7230 1.6006
0.0081 0.0049 9.5555

Entry 9:
! Pr3PtPb2 (PBE, optimized geometry); values from VASP
! uncorrected energy = -5.2234 eV/atom
! DFT formation energy = -3.54 eV/f.u.
&SYSTEM
  ibrav = 0, nat = 12, ntyp = 3
/
ATOMIC_SPECIES
Pb 207.20 Pb.upf
Pr 140.91 Pr.upf
Pt 195.08 Pt.upf
ATOMIC_POSITIONS crystal
Pb 0.4677 0.9852 0.6957
Pr 0.6664 0.7500 0.0000
Pr 0.3336 0.2500 0.0000
Pr 0.0605 0.1210 0.3224
Pb 0.5323 0.0148 0.3043
Pr 0.7381 0.3790 0.6776
Pr 0.9395 0.8790 0.6776
Pb 0.2280 0.4852 0.6957
Pt 0.1247 0.7500 0.0000
Pr 0.2619 0.6210 0.3224
Pb 0.7720 0.5148 0.3043
Pt 0.8753 0.2500 0.0000
CELL_PARAMETERS angstrom
6.5793 0.0000 0.0000
0.0000 8.5191 -0.0455
-3.2896 -2.1971 6.5427

Entry 10:
! PrPt2Pb (PBE, optimized geometry); values from VASP
! uncorrected energy = -5.7216 eV/atom
! DFT formation energy = -2.32 eV/f.u.
&SYSTEM
  ibrav = 0, nat = 4, ntyp = 3
/
ATOMIC_SPECIES
Pt 195.08 Pt.upf
Pb 207.20 Pb.upf
Pr 140.91 Pr.upf
ATOMIC_POSITIONS crystal
Pt 0.7414 0.7414 0.7758
Pb 0.0000 0.0000 0.0000
Pr 0.5000 0.5000 0.5000
Pt 0.2586 0.2586 0.2242
CELL_PARAMETERS angstrom
4.2755 0.0000 0.0000
2.1377 3.7027 0.0000
2.1377 1.2342 6.2889

Entry 11:
! PrPuPtPb (PBE, optimized geometry); values from VASP
! uncorrected energy = -7.6512 eV/atom
! DFT formation energy = -1.74 eV/f.u.
&SYSTEM
  ibrav = 0, nat = 4, ntyp = 4
/
ATOMIC_SPECIES
Pt 195.08 Pt.upf
Pu 244.00 Pu.upf
Pr 140.91 Pr.upf
Pb 207.20 Pb.upf
ATOMIC_POSITIONS crystal
Pt 0.2500 0.2500 0.2500
Pu 0.0000 0.0000 0.0000
Pr 0.5000 0.5000 0.5000
Pb 0.7500 0.7500 0.7500
CELL_PARAMETERS angstrom
-0.8729 -3.7653 3.6496
-3.3647 -3.9816 -1.0411
1.8600 -4.9214 -0.7611

Entry 12:
! PrPtRhPb (PBE, optimized geometry); values from VASP
! uncorrected energy = -5.9606 eV/atom
! DFT formation energy = -1.96 eV/f.u.
&SYSTEM
  ibrav = 0, nat = 4, ntyp = 4
/
ATOMIC_SPECIES
Pb 207.20 Pb.upf
Pt 195.08 Pt.upf
Pr 140.91 Pr.upf
Rh 102.91 Rh.upf
ATOMIC_POSITIONS crystal
Pb 0.0000 0.0000 0.0000
Pt 0.2500 0.2500 0.2500
Pr 0.5000 0.5000 0.5000
Rh 0.7500 0.7500 0.7500
CELL_PARAMETERS angstrom
4.9465 0.0000 0.0000
2.4732 4.2838 0.0000
2.4732 1.4279 4.0388